Entry from the Alexandria database: an optimized crystal structure of ErMnFeO5 (PBE+U).

```
ErMnFeO5
1.0
5.754 0.000 0.000
0.000 7.138 0.000
0.000 0.000 8.473
O Er Mn Fe
20 4 4 4
Cartesian
1.494 2.750 6.728
1.303 0.000 0.000
4.260 2.750 6.728
1.494 4.388 1.745
0.000 1.067 4.940
4.451 0.000 0.000
4.260 6.319 5.981
0.000 6.071 3.533
2.877 5.957 3.742
4.260 0.819 2.492
1.494 0.819 2.492
2.877 1.182 4.731
0.000 4.637 7.769
4.451 3.569 4.237
2.877 2.387 0.495
2.877 4.751 7.978
0.000 2.502 0.704
1.303 3.569 4.237
1.494 6.319 5.981
4.260 4.388 1.745
2.877 2.645 2.790
2.877 4.493 5.683
2.877 6.214 1.446
2.877 0.924 7.027
1.422 0.000 4.237
1.422 3.569 0.000
4.331 3.569 0.000
4.331 0.000 4.237
0.000 6.501 7.187
0.000 2.932 5.523
0.000 4.207 2.950
0.000 0.638 1.286
```

## Properties
Electronic total energy: -231.779 eV for the cell shown
Total magnetization: 16.1 μB per cell

Entry from the Alexandria database: an optimized crystal structure of KMo2O7 (PBE+U).

```
KMo2O7
1.0
-2.092 -0.819 3.156
2.121 -5.766 -0.090
3.011 4.351 3.124
O K Mo
7 1 2
Cartesian
2.954 -3.001 3.557
3.210 -0.095 4.481
2.746 1.345 2.170
-0.170 -2.140 1.710
2.385 -2.761 0.865
0.086 0.767 2.633
1.520 -1.117 3.095
0.000 0.000 0.000
1.341 -3.153 2.448
1.699 0.919 3.742
```

## Properties
Electronic total energy: -63.914 eV for the cell shown
Total magnetization: 1.0 μB per cell

- Among the records above, which one has the highest total magnetization?
  ErMnFeO5

Please write out number 2 again, unchanged.
Entry from the Alexandria database: an optimized crystal structure of KMo2O7 (PBE+U).

```
KMo2O7
1.0
-2.092 -0.819 3.156
2.121 -5.766 -0.090
3.011 4.351 3.124
O K Mo
7 1 2
Cartesian
2.954 -3.001 3.557
3.210 -0.095 4.481
2.746 1.345 2.170
-0.170 -2.140 1.710
2.385 -2.761 0.865
0.086 0.767 2.633
1.520 -1.117 3.095
0.000 0.000 0.000
1.341 -3.153 2.448
1.699 0.919 3.742
```

## Properties
Electronic total energy: -63.914 eV for the cell shown
Total magnetization: 1.0 μB per cell

- Which of these has the lowest total magnetization?
  KMo2O7

- The highest electronic total energy belongs to which entry?
  KMo2O7